First-principles (PBE) data for Tb2InGe3Rh4 after structural relaxation, as listed in the Alexandria database.

Summary:
Crystal system: tetragonal
Volume in Å³/cell: 187
Formation energy from the elements in meV per atom: -772
DOS(E_F) in states/eV/atom: 0.85
E in eV for the cell shown: -62.98

Cell: 4.1689 4.1689 10.7500 Å, 90.00 90.00 90.00°
With the nearest neighbours (Å) after each atom.
Sites, in units of the cell vectors:
Tb: 0.0000 0.5000 0.7600  8 Rh 3.17-3.32, 6 Ge 3.19-3.49, 2 In 3.49
Tb: 0.5000 0.0000 0.2400  8 Rh 3.17-3.32, 6 Ge 3.19-3.49, 2 In 3.49
Ge: 0.0000 0.0000 0.5000  4 Rh 2.64, 4 In 2.95
Ge: 0.5000 0.0000 0.8746  5 Rh 2.41-2.48
Ge: 0.0000 0.5000 0.1254  5 Rh 2.41-2.48
Rh: 0.5000 0.5000 0.0000  4 Ge 2.48
Rh: 0.0000 0.5000 0.3494  3 Ge 2.41-2.64, 2 In 2.64
Rh: 0.5000 0.0000 0.6506  3 Ge 2.41-2.64, 2 In 2.64
Rh: 0.0000 0.0000 0.0000  4 Ge 2.48
In: 0.5000 0.5000 0.5000  4 Rh 2.64, 4 Ge 2.95

First-principles (PBE) data for Zr2SeCl after structural relaxation, as listed in the Alexandria database.

Summary:
Crystal system: orthorhombic
Formation energy (no corrections) in eV/atom: -0.735
Relative energy among the computed polymorphs in meV/atom: 243.3
Volume in Å³/cell: 83
DOS(E_F) in states/eV/atom: 0.69
E in eV for the cell shown: -25.37

Cell: 6.1774 6.1774 6.1774 Å, 149.40 136.12 54.44°
With the nearest neighbours (Å) after each atom.
Sites, in units of the cell vectors:
Cl: 0.5240 0.5240 0.0000  6 Zr 2.81-2.83
Zr: 0.0186 0.0186 0.0000  2 Se 2.79, 4 Cl 2.83
Zr: 0.7326 0.2326 0.5000  2 Cl 2.81, 4 Se 2.83
Se: 0.2249 0.7249 0.5000  6 Zr 2.79-2.83

First-principles (PBE) data for Ga2Pd7Au after structural relaxation, as listed in the Alexandria database.

Summary:
Crystal system: orthorhombic
Relative energy among the computed polymorphs in meV/atom: 348.1
Volume in Å³/cell: 194
Formation energy from the elements in meV per atom: 21
DOS(E_F) in states/eV/atom: 0.58
E in eV for the cell shown: -45.47

Cell: 4.2935 7.1929 7.1929 Å, 119.30 90.00 90.00°
With the nearest neighbours (Å) after each atom.
Sites, in units of the cell vectors:
Pd: 0.0000 0.2172 0.7828  2 Ga 2.40
Pd: 0.5000 0.3039 0.0706  2 Ga 2.48-2.68, 2 Pd 2.70-2.72
Pd: 0.5000 0.6961 0.9294  2 Ga 2.48-2.68, 2 Pd 2.70-2.72
Pd: 0.5000 0.0706 0.3039  2 Ga 2.48-2.68, 2 Pd 2.70-2.72
Pd: 0.5000 0.5000 0.5000  2 Ga 2.45, 4 Pd 2.70
Pd: 0.5000 0.9294 0.6961  2 Ga 2.48-2.68, 2 Pd 2.70-2.72
Pd: 0.0000 0.7828 0.2172  2 Ga 2.40
Ga: 0.5000 0.3029 0.6971  7 Pd 2.40-2.68
Ga: 0.5000 0.6971 0.3029  7 Pd 2.40-2.68
Au: 0.0000 0.0000 0.0000  10 Pd 2.70-2.93

First-principles (PBE) data for ZrBeCd after structural relaxation, as listed in the Alexandria database.

Summary:
Crystal system: tetragonal
Relative energy among the computed polymorphs in meV/atom: 175.8
Volume in Å³/cell: 52
Formation energy from the elements in meV per atom: 6
DOS(E_F) in states/eV/atom: 0.50
E in eV for the cell shown: -13.17

Cell: 6.0782 6.0783 3.0267 Å, 75.58 75.58 28.83°
With the nearest neighbours (Å) after each atom.
Sites, in units of the cell vectors:
Cd: 0.3564 0.3563 0.6436  4 Be 2.69
Zr: 0.6446 0.6445 0.3554  4 Be 2.71, 4 Zr 3.03
Be: 0.9990 0.9991 0.0010  4 Cd 2.69, 4 Zr 2.71

First-principles (PBE) data for Ce2Zn3Cu7 after structural relaxation, as listed in the Alexandria database.

Summary:
Crystal system: monoclinic
Volume in Å³/cell: 193
Formation energy from the elements in meV per atom: -181
DOS(E_F) in states/eV/atom: 1.37
E in eV for the cell shown: -46.53

Cell: 4.1681 5.1672 8.9782 Å, 89.64 90.00 90.00°
With the nearest neighbours (Å) after each atom.
Sites, in units of the cell vectors:
Cu: 0.5000 0.5000 0.5000  6 Cu 2.56-2.58, 2 Zn 2.56
Cu: 0.5000 0.5000 0.0000  4 Cu 2.54, 4 Zn 2.58-2.59
Cu: 0.0000 0.2548 0.0812  2 Cu 2.54, 4 Zn 2.57-2.59
Cu: 0.0000 0.7452 0.9188  2 Cu 2.54, 4 Zn 2.57-2.59
Cu: 0.0000 0.2493 0.4208  4 Cu 2.55-2.56, 2 Zn 2.57
Cu: 0.0000 0.7507 0.5792  4 Cu 2.55-2.56, 2 Zn 2.57
Cu: 0.5000 0.0000 0.5000  6 Cu 2.55-2.58, 2 Zn 2.57
Zn: 0.5000 0.7443 0.7470  7 Cu 2.56-2.59, 1 Zn 2.63
Zn: 0.5000 0.0000 0.0000  6 Cu 2.57-2.58, 2 Zn 2.63
Zn: 0.5000 0.2557 0.2530  7 Cu 2.56-2.59, 1 Zn 2.63
Ce: 0.0000 0.2499 0.7476  6 Cu 2.93-3.02
Ce: 0.0000 0.7501 0.2524  6 Cu 2.93-3.02

First-principles (PBE) data for SrCd2Cl after structural relaxation, as listed in the Alexandria database.

Summary:
Crystal system: trigonal
Formation energy (no corrections) in eV/atom: -0.425
Relative energy among the computed polymorphs in meV/atom: 385.8
Volume in Å³/cell: 127
DOS(E_F) in states/eV/atom: 0.63
E in eV for the cell shown: -7.06

Cell: 9.3042 9.3042 9.3042 Å, 25.04 25.04 25.04°
With the nearest neighbours (Å) after each atom.
Sites, in units of the cell vectors:
Cl: 0.2500 0.2500 0.2500  6 Cd 3.05
Sr: 0.7500 0.7500 0.7500  6 Cd 3.44
Cd: 0.5105 0.5105 0.5105  3 Cl 3.05
Cd: 0.9895 0.9895 0.9895  3 Cl 3.05

First-principles (PBE) data for MgZr3Zn after structural relaxation, as listed in the Alexandria database.

Summary:
Crystal system: cubic
Relative energy among the computed polymorphs in meV/atom: 0.0
Volume in Å³/cell: 127
Formation energy from the elements in meV per atom: 520
DOS(E_F) in states/eV/atom: 0.71
E in eV for the cell shown: -25.91

Cell: 5.0242 5.0242 5.0242 Å, 90.00 90.00 90.00°
With the nearest neighbours (Å) after each atom.
Sites, in units of the cell vectors:
Zr: 0.0000 0.0000 0.5000  2 Zn 2.51
Zr: 0.0000 0.5000 0.0000  2 Zn 2.51
Zr: 0.5000 0.0000 0.0000  2 Zn 2.51
Mg: 0.5000 0.5000 0.5000  12 Zr 3.55
Zn: 0.0000 0.0000 0.0000  6 Zr 2.51

First-principles (PBE) data for ScAlSi3 after structural relaxation, as listed in the Alexandria database.

Summary:
Crystal system: cubic
Formation energy (no corrections) in eV/atom: 0.935
Volume in Å³/cell: 125
DOS(E_F) in states/eV/atom: 0.41
E in eV for the cell shown: -21.67

Cell: 5.0018 5.0018 5.0018 Å, 90.00 90.00 90.00°
With the nearest neighbours (Å) after each atom.
Sites, in units of the cell vectors:
Si: 0.0000 0.5000 0.0000  2 Sc 2.50
Si: 0.5000 0.0000 0.0000  2 Sc 2.50
Si: 0.0000 0.0000 0.5000  2 Sc 2.50
Sc: 0.0000 0.0000 0.0000  6 Si 2.50
Al: 0.5000 0.5000 0.5000  12 Si 3.54

First-principles (PBE) data for Sr8LiCa2 after structural relaxation, as listed in the Alexandria database.

Summary:
Crystal system: monoclinic
Relative energy among the computed polymorphs in meV/atom: 8.6
Volume in Å³/cell: 546
Formation energy from the elements in meV per atom: 38
DOS(E_F) in states/eV/atom: 1.07
E in eV for the cell shown: -18.95

Cell: 5.9930 8.8166 10.9709 Å, 101.47 105.85 90.00°
With the nearest neighbours (Å) after each atom.
Sites, in units of the cell vectors:
Sr: 0.3224 0.0877 0.6447  1 Li 3.98, 8 Sr 4.03-4.33, 3 Ca 4.10-4.11
Sr: 0.4077 0.5571 0.8154  1 Li 3.99, 8 Sr 4.01-4.25, 3 Ca 4.07-4.20
Sr: 0.9575 0.2603 0.9150  2 Li 3.99, 9 Sr 4.08-4.25, 1 Ca 4.12
Sr: 0.0425 0.7397 0.0850  2 Li 3.99, 9 Sr 4.08-4.25, 1 Ca 4.12
Sr: 0.8573 0.8112 0.7147  3 Ca 3.95-4.18, 7 Sr 4.01-4.09, 2 Li 4.33
Sr: 0.6776 0.9123 0.3553  1 Li 3.98, 8 Sr 4.03-4.33, 3 Ca 4.10-4.11
Sr: 0.1427 0.1888 0.2853  3 Ca 3.95-4.18, 7 Sr 4.01-4.09, 2 Li 4.33
Sr: 0.5923 0.4429 0.1846  1 Li 3.99, 8 Sr 4.01-4.25, 3 Ca 4.07-4.20
Ca: 0.7759 0.3651 0.5519  10 Sr 3.95-4.20, 2 Ca 4.11
Ca: 0.2241 0.6349 0.4481  10 Sr 3.95-4.20, 2 Ca 4.11
Li: 0.5000 0.0000 0.0000  12 Sr 3.98-4.33

First-principles (PBE) data for TbPmGd2 after structural relaxation, as listed in the Alexandria database.

Summary:
Crystal system: trigonal
Relative energy among the computed polymorphs in meV/atom: 0.6
Volume in Å³/cell: 131
Formation energy from the elements in meV per atom: 21
DOS(E_F) in states/eV/atom: 1.63
E in eV for the cell shown: -37.46

Cell: 3.5920 3.5920 11.9208 Å, 81.33 81.33 60.00°
With the nearest neighbours (Å) after each atom.
Sites, in units of the cell vectors:
Gd: 0.2492 0.2492 0.2524  3 Tb 3.57, 6 Gd 3.59, 3 Pm 3.62
Gd: 0.7508 0.7508 0.7476  3 Tb 3.57, 6 Gd 3.59, 3 Pm 3.62
Tb: 0.5000 0.5000 0.5000  6 Gd 3.57, 6 Tb 3.59
Pm: 0.0000 0.0000 0.0000  6 Pm 3.59, 6 Gd 3.62

First-principles (PBE) data for U3P after structural relaxation, as listed in the Alexandria database.

Summary:
Crystal system: orthorhombic
Relative energy among the computed polymorphs in meV/atom: 171.9
Volume in Å³/cell: 77
Formation energy from the elements in meV per atom: -266
DOS(E_F) in states/eV/atom: 2.56
E in eV for the cell shown: -40.34

Cell: 3.1205 4.9784 5.7355 Å, 115.72 105.79 90.00°
With the nearest neighbours (Å) after each atom.
Sites, in units of the cell vectors:
U: 0.7311 0.0515 0.4622  5 U 2.75-2.96, 3 P 2.93-3.05
U: 0.5000 0.5102 0.0000  2 U 2.75, 4 P 2.91-2.96
U: 0.2689 0.5893 0.5378  5 U 2.75-2.96, 3 P 2.93-3.05
P: 0.0000 0.0157 0.0000  10 U 2.91-3.05, 2 P 3.12

First-principles (PBE) data for KNiAgCl4 after structural relaxation, as listed in the Alexandria database.

Summary:
Crystal system: monoclinic
Formation energy (no corrections) in eV/atom: -0.870
Volume in Å³/cell: 380
DOS(E_F) in states/eV/atom: 0.08
E in eV for the cell shown: -46.41

Cell: 6.4845 7.1778 8.4035 Å, 90.00 103.64 90.00°
With the nearest neighbours (Å) after each atom.
Sites, in units of the cell vectors:
Ag: 0.1498 0.2500 0.5132  5 Cl 2.56-2.80
Ag: 0.8502 0.7500 0.4868  5 Cl 2.56-2.80
K: 0.2579 0.2500 0.0598  6 Cl 3.18-3.42
K: 0.7421 0.7500 0.9402  6 Cl 3.18-3.42
Cl: 0.4865 0.7500 0.5560  1 Ni 2.24
Cl: 0.9769 0.9860 0.2738  1 Ni 2.28
Cl: 0.0231 0.4860 0.7262  1 Ni 2.28
Cl: 0.5135 0.2500 0.4440  1 Ni 2.24
Cl: 0.3510 0.7500 0.1089  1 Ni 2.25
Cl: 0.0231 0.0140 0.7262  1 Ni 2.28
Cl: 0.9769 0.5140 0.2738  1 Ni 2.28
Cl: 0.6490 0.2500 0.8911  1 Ni 2.25
Ni: 0.2181 0.7500 0.3332  4 Cl 2.24-2.28
Ni: 0.7819 0.2500 0.6668  4 Cl 2.24-2.28